(1)
Density functional theory data (PBE) for an optimized crystal structure of TaGe3I.

Properties
For the total magnetization, the calculation gives 0.00 Bohr magnetons per cell. The relative energy among the computed polymorphs is 1496.1 meV/atom. As for the volume: 142.9 Å³/cell. The formation energy (no corrections) is 938 kJ/mol of formula units.

Cell: 5.2275 5.2275 5.2275 Å, 90.00 90.00 90.00°
Space group Pm-3m (No. 221)
Unique sites:
Ta  0.0000  0.0000  0.0000 x1
Ge  0.0000  0.5000  0.5000 x3
I  0.5000  0.5000  0.5000 x1



(2)
Density functional theory data (PBE) for an optimized crystal structure of Sr2GaCu9.

Properties
For the total magnetization, the calculation gives 0.00 Bohr magnetons per cell. As for the volume: 596.6 Å³/cell. The formation energy is 0.077 eV/atom.

Cell: 5.1826 5.1826 25.6469 Å, 90.00 90.00 120.00°
Space group R-3m (No. 166, hexagonal axes)
Unique sites:
Sr  0.0000  0.0000  0.1340 x6
Ga  0.0000  0.0000  0.0000 x3
Cu  0.0000  0.0000  0.3324 x6
Cu  0.0000  0.0000  0.5000 x3
Cu  0.0021  0.5011  0.0776 x18